--- i ---
Here is a relaxed structure of LiPr2Nd from Alexandria. Energies are from PBE.

The structure belongs to space group P3m1 (No. 156); the cell edges are 3.6075, 3.6075 and 12.1166 Å and the angles 90.00°, 90.00° and 120.00°. The inequivalent atoms are Li at (0.0000, 0.0000, 0.0000), Pr at (0.0000, 0.0000, 0.7284), Pr at (0.6667, 0.3333, 0.2353) and Nd at (0.3333, 0.6667, 0.4840).

The value obtained for the theoretical density is 5.3 g/cm³.

--- ii ---
Here is a relaxed structure of LiPr2Nd from Alexandria. Energies are from PBE.

The structure belongs to space group Fm-3m (No. 225); the cell edges are 8.052, 8.052 and 8.052 Å and the angles 90.00°, 90.00° and 90.00°. The inequivalent atoms are Li at (0.000, 0.000, 0.000), Pr at (0.250, 0.250, 0.250) and Nd at (0.000, 0.000, 0.500).

The value obtained for the theoretical density is 5.5 g/cm³.

Energies, relative to the best one, in kJ/mol of atoms: i 0.0; ii 5.2.

--- i ---
Here is a relaxed structure of LiPr2Nd from Alexandria. Energies are from PBE.

The structure belongs to space group P4/mmm (No. 123); the cell edges are 3.712, 3.712 and 9.305 Å and the angles 90.00°, 90.00° and 90.00°. The inequivalent atoms are Li at (0.000, 0.000, 0.000), Pr at (0.500, 0.500, 0.224) and Nd at (0.000, 0.000, 0.500).

The value obtained for the theoretical density is 5.6 g/cm³.

--- ii ---
Here is a relaxed structure of LiPr2Nd from Alexandria. Energies are from PBE.

The structure belongs to space group R-3m (No. 166, hexagonal axes); the cell edges are 3.5818, 3.5818 and 37.8170 Å and the angles 90.00°, 90.00° and 120.00°. The inequivalent atoms are Li at (0.0000, 0.0000, 0.0000), Pr at (0.0000, 0.0000, 0.0881) and Nd at (0.0000, 0.0000, 0.5000).

The value obtained for the theoretical density is 5.1 g/cm³.

Energies, relative to the best one, in kJ/mol of atoms: i 0.0; ii 11.1.

--- i ---
Here is a relaxed structure of LiPrNd from Alexandria. Energies are from PBE.

The structure belongs to space group P4/nmm (No. 129, origin choice 2); the cell edges are 3.712, 3.712 and 13.357 Å and the angles 90.00°, 90.00° and 90.00°. The inequivalent atoms are Li at (0.250, 0.250, 0.049), Pr at (0.250, 0.250, 0.787) and Nd at (0.250, 0.250, 0.402).

The value obtained for the theoretical density is 5.3 g/cm³.

--- ii ---
Here is a relaxed structure of LiPrNd from Alexandria. Energies are from PBE.

The structure belongs to space group I4mm (No. 107); the cell edges are 3.793, 3.793 and 12.801 Å and the angles 90.00°, 90.00° and 90.00°. The inequivalent atoms are Li at (0.000, 0.000, 0.000), Pr at (0.000, 0.000, 0.654) and Nd at (0.000, 0.000, 0.348).

The value obtained for the theoretical density is 5.3 g/cm³.

--- iii ---
Here is a relaxed structure of LiPrNd from Alexandria. Energies are from PBE.

The structure belongs to space group C2/m (No. 12); the cell edges are 13.394, 3.445 and 9.738 Å and the angles 90.00°, 117.57° and 90.00°. The inequivalent atoms are Li at (0.127, 0.000, 0.491), Pr at (0.125, 0.000, 0.846) and Nd at (0.121, 0.500, 0.177).

The value obtained for the theoretical density is 4.9 g/cm³.

--- iv ---
Here is a relaxed structure of LiPrNd from Alexandria. Energies are from PBE.

The structure belongs to space group P3m1 (No. 156); the cell edges are 3.6012, 3.6012 and 8.5266 Å and the angles 90.00°, 90.00° and 120.00°. The inequivalent atoms are Li at (0.0000, 0.0000, 0.0000), Pr at (0.6667, 0.3333, 0.3269) and Nd at (0.3333, 0.6667, 0.6753).

The value obtained for the theoretical density is 5.1 g/cm³.

Energies, relative to the best one, in kJ/mol of atoms: i 0.0; ii 3.7; iii 14.8; iv 5.5.

--- i ---
Here is a relaxed structure of LiNd2Pt3 from Alexandria. Energies are from PBE.

The structure belongs to space group P6_3/mmc (No. 194); the cell edges are 4.4697, 4.4697 and 15.1993 Å and the angles 90.00°, 90.00° and 120.00°. The inequivalent atoms are Li at (0.3333, 0.6667, 0.2500), Nd at (0.0000, 0.0000, 0.1232), Pt at (0.3333, 0.6667, 0.0069) and Pt at (0.3333, 0.6667, 0.7500).

The value obtained for the theoretical density is 11.1 g/cm³.

--- ii ---
Here is a relaxed structure of LiNd2Pt3 from Alexandria. Energies are from PBE.

The structure belongs to space group Fmmm (No. 69); the cell edges are 7.615, 8.642 and 15.652 Å and the angles 90.00°, 90.00° and 90.00°. The inequivalent atoms are Li at (0.000, 0.000, 0.165), Nd at (0.248, 0.000, 0.500), Nd at (0.250, 0.250, 0.250), Pt at (0.000, 0.000, 0.323) and Pt at (0.000, 0.242, 0.085).

The value obtained for the theoretical density is 11.4 g/cm³.

Energies, relative to the best one, in kJ/mol of atoms: i 6.0; ii 0.0.

--- i ---
Here is a relaxed structure of LiNd2Pt2 from Alexandria. Energies are from PBE.

The structure belongs to space group Immm (No. 71); the cell edges are 4.379, 5.811 and 8.713 Å and the angles 90.00°, 90.00° and 90.00°. The inequivalent atoms are Li at (0.000, 0.000, 0.000), Nd at (0.000, 0.500, 0.199) and Pt at (0.000, 0.243, 0.500).

The value obtained for the theoretical density is 10.3 g/cm³.

--- ii ---
Here is a relaxed structure of LiNd2Pt2 from Alexandria. Energies are from PBE.

The structure belongs to space group Ibam (No. 72); the cell edges are 7.250, 11.451 and 5.849 Å and the angles 90.00°, 90.00° and 90.00°. The inequivalent atoms are Li at (0.000, 0.000, 0.250), Nd at (0.163, 0.358, 0.000) and Pt at (0.243, 0.389, 0.500).

The value obtained for the theoretical density is 9.4 g/cm³.

Energies, relative to the best one, in kJ/mol of atoms: i 0.0; ii 5.0.

--- i ---
Here is a relaxed structure of LiNd2Pu from Alexandria. Energies are from PBE.

The structure belongs to space group R-3m (No. 166, hexagonal axes); the cell edges are 3.4212, 3.4212 and 36.4990 Å and the angles 90.00°, 90.00° and 120.00°. The inequivalent atoms are Li at (0.0000, 0.0000, 0.0000), Nd at (0.0000, 0.0000, 0.4096) and Pu at (0.0000, 0.0000, 0.5000).

The value obtained for the theoretical density is 7.3 g/cm³.

--- ii ---
Here is a relaxed structure of LiNd2Pu from Alexandria. Energies are from PBE.

The structure belongs to space group P4/mmm (No. 123); the cell edges are 3.514, 3.514 and 9.538 Å and the angles 90.00°, 90.00° and 90.00°. The inequivalent atoms are Li at (0.000, 0.000, 0.000), Nd at (0.500, 0.500, 0.243) and Pu at (0.000, 0.000, 0.500).

The value obtained for the theoretical density is 7.6 g/cm³.

Energies, relative to the best one, in kJ/mol of atoms: i 18.6; ii 0.0.